[1]
SrW2Br: optimized geometry, PBE-GGA.

abc: 3.0543 3.0543 30.1818
angles: 90.00 90.00 120.00
With the nearest neighbours (Å) after each atom.
Space group R-3m (No. 166, hexagonal axes)
Symmetry-distinct sites (fractional):
1 Sr 0.0000 0.0000 0.0000 (multiplicity 3)  6 Sr 3.05, 6 W 3.34
2 W 0.0000 0.0000 0.2393 (multiplicity 6)  3 Br 2.81, 6 W 3.05
3 Br 0.0000 0.0000 0.5000 (multiplicity 3)  6 W 2.81, 6 Br 3.05

Values from the calculation:
energy above the most stable polymorph in this dataset	1.137	eV per atom
final energy	-5.947	eV/atom
formation energy from raw total energies	1.369	eV/atom
DOS at the Fermi energy	0.928	states/eV/atom



[2]
Tb5SmY2Th: optimized geometry, PBE-GGA.

abc: 5.7394 21.4231 9.8274
angles: 90.00 90.00 90.00
With the nearest neighbours (Å) after each atom.
Space group Cmc2_1 (No. 36)
Symmetry-distinct sites (fractional):
1 Tb 0.0000 0.0153 0.0000 (multiplicity 4)  2 Y 3.36-3.59, 2 Th 3.44, 2 Tb 3.62, 1 Sm 3.76
2 Tb 0.0000 0.2740 0.3023 (multiplicity 4)  1 Th 3.04, 1 Y 3.38
3 Tb 0.0000 0.3035 0.6932 (multiplicity 4)  3 Sm 3.45-3.86, 4 Tb 3.48-3.84, 3 Y 3.55-3.81, 1 Th 3.61
4 Tb 0.0000 0.4007 0.0212 (multiplicity 4)  2 Tb 3.28-3.42, 4 Y 3.39-3.54
5 Tb 0.0000 0.4685 0.7214 (multiplicity 4)  2 Th 3.21-3.37, 3 Tb 3.28-3.55, 2 Y 3.52
6 Sm 0.0000 0.1906 0.9992 (multiplicity 4)  2 Y 3.29-3.47, 5 Tb 3.45-3.54, 2 Th 3.68
7 Y 0.0000 0.1165 0.3137 (multiplicity 4)  8 Tb 3.36-3.55, 1 Sm 3.47, 1 Y 3.76
8 Y 0.0000 0.1258 0.6960 (multiplicity 4)  1 Sm 3.29, 3 Tb 3.39-3.59, 2 Th 3.60
9 Th 0.0000 0.4078 0.4049 (multiplicity 4)  3 Tb 3.04-3.37

Values from the calculation:
final energy	-5.200	eV/atom
ΔH_f (0 K)	0.16	eV per atom
DOS at the Fermi energy	1.273	states/eV/atom



[3]
NiAsRh: optimized geometry, PBE-GGA.

abc: 3.9523 3.9523 3.0902
angles: 90.00 90.00 120.00
With the nearest neighbours (Å) after each atom.
Space group P3m1 (No. 156)
Symmetry-distinct sites (fractional):
1 Ni 0.0000 0.0000 0.0000 (multiplicity 1)  3 As 2.37
2 As 0.6667 0.3333 0.7953 (multiplicity 1)  3 Ni 2.37, 3 Rh 2.46
3 Rh 0.3333 0.6667 0.4946 (multiplicity 1)  3 As 2.46, 3 Ni 2.75

Values from the calculation:
final energy	-6.137	eV/atom
ΔH_f (0 K)	-0.21	eV per atom
DOS at the Fermi energy	0.611	states/eV/atom



[4]
NbB2Ru: optimized geometry, PBE-GGA.

abc: 6.4419 3.0579 8.8285
angles: 90.00 90.00 90.00
With the nearest neighbours (Å) after each atom.
Space group Pnma (No. 62)
Symmetry-distinct sites (fractional):
1 Nb 0.1273 0.2500 0.1183 (multiplicity 4)  6 B 2.42-2.50
2 B 0.1571 0.2500 0.8364 (multiplicity 4)  2 B 1.80
3 B 0.2492 0.7500 0.9212 (multiplicity 4)  2 B 1.80
4 Ru 0.0095 0.7500 0.3742 (multiplicity 4)  4 B 2.15-2.22

Values from the calculation:
energy above the most stable polymorph in this dataset	0.000	eV per atom
final energy	-8.656	eV/atom
ΔH_f (0 K)	-0.48	eV per atom
DOS at the Fermi energy	0.432	states/eV/atom



[5]
CdHgBi: optimized geometry, PBE-GGA.

abc: 3.4549 3.4549 7.8904
angles: 90.00 90.00 120.00
With the nearest neighbours (Å) after each atom.
Space group P3m1 (No. 156)
Symmetry-distinct sites (fractional):
1 Cd 0.0000 0.0000 0.0000 (multiplicity 1)  3 Hg 3.11, 3 Bi 3.36, 6 Cd 3.45
2 Hg 0.6667 0.3333 0.3027 (multiplicity 1)  3 Cd 3.11, 3 Bi 3.44, 6 Hg 3.45
3 Bi 0.3333 0.6667 0.6580 (multiplicity 1)  3 Cd 3.36, 3 Hg 3.44, 6 Bi 3.45

Values from the calculation:
energy above the most stable polymorph in this dataset	0.026	eV per atom
final energy	-1.633	eV/atom
ΔH_f (0 K)	0.07	eV per atom
DOS at the Fermi energy	0.249	states/eV/atom



[6]
TlInTc2O8: optimized geometry, PBE-GGA.

abc: 9.1587 6.0756 8.2065
angles: 90.00 94.08 90.00
With the nearest neighbours (Å) after each atom.
Space group C2/m (No. 12)
Symmetry-distinct sites (fractional):
1 Tl 0.0000 0.0000 0.0000 (multiplicity 2)  6 O 2.90-2.93
2 In 0.0000 0.0000 0.5000 (multiplicity 2)  6 O 2.21-2.24
3 Tc 0.1231 0.5000 0.2852 (multiplicity 4)  4 O 1.74-1.80
4 O 0.0164 0.2537 0.3039 (multiplicity 8)  1 Tc 1.80
5 O 0.2022 0.5000 0.0981 (multiplicity 4)  1 Tc 1.74
6 O 0.2402 0.0000 0.5478 (multiplicity 4)  1 Tc 1.79

Values from the calculation:
final energy	-6.755	eV/atom
formation energy from raw total energies	-1.297	eV/atom
DOS at the Fermi energy	0.490	states/eV/atom



[7]
Pu2PaTc: optimized geometry, PBE-GGA.

abc: 6.9654 6.9654 6.9654
angles: 90.00 90.00 90.00
With the nearest neighbours (Å) after each atom.
Space group Fm-3m (No. 225)
Symmetry-distinct sites (fractional):
1 Pu 0.2500 0.2500 0.2500 (multiplicity 8)  4 Pa 3.02, 4 Tc 3.02
2 Pa 0.0000 0.0000 0.0000 (multiplicity 4)  8 Pu 3.02
3 Tc 0.0000 0.0000 0.5000 (multiplicity 4)  8 Pu 3.02

Values from the calculation:
energy above the most stable polymorph in this dataset	0.073	eV per atom
final energy	-12.030	eV/atom
ΔH_f (0 K)	0.10	eV per atom
DOS at the Fermi energy	2.789	states/eV/atom



> What is the formula in the second record?

Tb5SmY2Th



> What is the final energy in the sixth record?

-6.755 eV/atom